First-principles (PBE) data for a geometry-optimized Cs2K4P structure, as listed in the Alexandria database.

a b c (Å): 14.1025 14.1025 14.1025
angles (deg): 153.74 153.74 37.47
With the nearest neighbours (Å) after each atom.
Fractional coordinates of all 7 atoms:
1 Cs 0.1912 0.1912 0.0000  5 K 4.97-5.18, 4 Cs 5.51
2 Cs 0.8088 0.8088 0.0000  5 K 4.97-5.18, 4 Cs 5.51
3 K 0.0000 0.5000 0.5000  2 P 3.20
4 K 0.3852 0.3852 0.0000  1 P 3.07
5 K 0.5000 0.0000 0.5000  2 P 3.20
6 K 0.6148 0.6148 0.0000  1 P 3.07
7 P 0.5000 0.5000 0.0000  6 K 3.07-3.20

Summary:
* calculated volume: 548.05 Å³/cell
* calculated formation energy: -1.64 kcal/mol of atoms
* raw total energy: -12.00 eV per cell
* density of states at the Fermi level: 4.9 states/eV per cell
* magnetic moment: 0.0 μB per cell

First-principles (PBE) data for a geometry-optimized Pr2PuSb3 structure, as listed in the Alexandria database.

a b c (Å): 7.8123 7.8123 7.8123
angles (deg): 146.32 131.78 60.10
With the nearest neighbours (Å) after each atom.
Fractional coordinates of all 6 atoms:
1 Pr 0.1681 0.1681 0.0000  6 Sb 3.19-3.24
2 Pr 0.8319 0.8319 0.0000  6 Sb 3.19-3.24
3 Pu 0.5000 0.5000 0.0000  6 Sb 3.14-3.19
4 Sb 0.0000 0.5000 0.5000  2 Pu 3.19, 4 Pr 3.21
5 Sb 0.3393 0.8393 0.5000  2 Pu 3.14, 4 Pr 3.19-3.24
6 Sb 0.6607 0.1607 0.5000  2 Pu 3.14, 4 Pr 3.19-3.24

Summary:
* calculated volume: 195.36 Å³/cell
* uncorrected formation energy: -982 meV per atom
* raw total energy: -42.15 eV per cell
* density of states at the Fermi level: 16.5 states/eV per cell
* magnetic moment: 5.1 μB per cell

First-principles (PBE) data for a geometry-optimized HfHIr2Rh structure, as listed in the Alexandria database.

a b c (Å): 4.0065 4.0065 4.0052
angles (deg): 90.00 90.00 90.00
With the nearest neighbours (Å) after each atom.
Fractional coordinates of all 5 atoms:
1 Hf 0.0000 0.0000 0.0000  8 Ir 2.83, 4 Rh 2.83
2 H 0.5000 0.5000 0.5000  2 Rh 2.00, 4 Ir 2.00
3 Ir 0.0000 0.5000 0.5000  2 H 2.00
4 Ir 0.5000 0.0000 0.5000  2 H 2.00
5 Rh 0.5000 0.5000 0.0000  2 H 2.00

Summary:
* calculated volume: 64.29 Å³/cell
* raw total energy: -41.58 eV per cell
* density of states at the Fermi level: 1.2 states/eV per cell
* magnetic moment: 0.0 μB per cell

First-principles (PBE) data for a geometry-optimized Pm2MgCo2 structure, as listed in the Alexandria database.

a b c (Å): 5.7308 5.7308 7.8258
angles (deg): 103.21 103.21 58.00
With the nearest neighbours (Å) after each atom.
Fractional coordinates of all 10 atoms:
1 Pm 0.0013 0.7054 0.8537  6 Co 2.92-3.12, 1 Mg 3.24
2 Pm 0.2946 0.9987 0.6463  6 Co 2.92-3.12, 1 Mg 3.24
3 Pm 0.7054 0.0013 0.3537  6 Co 2.92-3.12, 1 Mg 3.24
4 Pm 0.9987 0.2946 0.1463  6 Co 2.92-3.12, 1 Mg 3.24
5 Mg 0.3734 0.6266 0.2500  4 Co 2.70-2.73
6 Mg 0.6266 0.3734 0.7500  4 Co 2.70-2.73
7 Co 0.1901 0.5040 0.4915  1 Co 2.24
8 Co 0.4960 0.8099 0.0085  1 Co 2.24
9 Co 0.5040 0.1901 0.9915  1 Co 2.24
10 Co 0.8099 0.4960 0.5085  1 Co 2.24

Summary:
* calculated volume: 210.38 Å³/cell
* calculated formation energy: -2.23 kcal/mol of atoms
* raw total energy: -51.58 eV per cell
* density of states at the Fermi level: 5.5 states/eV per cell
* magnetic moment: 0.0 μB per cell

Question: density of states at the Fermi level of number 2 (Pr2PuSb3)?
Answer: 16.5 states/eV per cell

Question: Number 2 is which compound?
Answer: Pr2PuSb3

Question: Number 1 is which compound?
Answer: Cs2K4P